The following is a DFT calculation (PBE+U) of an optimized crystal structure of NaNiNO2.

a = 3.8745 Å, b = 3.8745 Å, c = 3.7578 Å
α = 90.00°, β = 90.00°, γ = 90.00°
Atoms (fractional coordinates):
1 Na 0.0000 0.0000 0.0000
2 Ni 0.5000 0.5000 0.5000
3 N 0.5000 0.5000 0.0000
4 O 0.0000 0.5000 0.5000
5 O 0.5000 0.0000 0.5000

Output
ρ = 3.76 Mg/m³
magnetic moment = 2.11 μB/f.u.
raw total energy = -4.20 eV per atom
symmetry = P4/mmm (123)